# CrGePO2

Crystalline CrGePO2 at its relaxed geometry (GGA+U, Alexandria via LeMat-Bulk).

The total energy comes out at -5.968 eV/atom. As for the magnetic moment: 1.76 μB per cell. For the volume, the calculation gives 14.08 Å³/atom.

a b c (Å): 3.6939 3.6939 5.1580
angles (deg): 90.00 90.00 90.00
Space group P4/mmm (No. 123)
Inequivalent atoms, fractional coordinates:
1 Cr 0.0000 0.0000 0.0000
2 Ge 0.5000 0.5000 0.5000
3 P 0.0000 0.0000 0.5000
4 O 0.0000 0.5000 0.0000